Entry 1:
A geometry-optimized PSe structure, computed with GGA-PBE.

extended XYZ file:
```
12
Lattice="-5.993 -1.793 -3.698 -0.066 -6.496 3.256 -4.109 2.719 5.341" Properties=species:S:1:pos:R:3 pbc="T T T"
Se -3.046 -5.768 0.593
Se -3.553 0.912 1.746
Se -3.115 -1.209 5.634
Se -6.550 0.015 -0.103
Se -3.013 -2.520 -1.035
Se -1.060 -2.568 2.963
P -2.104 -3.513 5.113
P -1.531 -3.696 0.704
P -6.078 1.143 2.157
P -2.071 -0.264 3.485
P -4.528 -4.593 -1.145
P -4.024 -0.216 -0.514
```

Properties
Fermi-level density of states in states/eV/f.u.: 1.64
Uncorrected formation energy in eV per atom: 0.708
ρ in g/cm3: 2.85
Spin magnetization in Bohr magnetons per cell: 0.00

Entry 2:
A geometry-optimized Tl2OsCl structure, computed with GGA-PBE.

extended XYZ file:
```
4
Lattice="0.000 3.671 3.671 3.671 0.000 3.671 3.671 3.671 0.000" Properties=species:S:1:pos:R:3 pbc="T T T"
Tl 5.507 5.507 5.507
Tl 1.836 1.836 1.836
Cl 0.000 0.000 0.000
Os 3.671 3.671 3.671
```

Properties
Fermi-level density of states in states/eV/f.u.: 1.34
Uncorrected formation energy in eV per atom: 0.872
ρ in g/cm3: 10.64
Spin magnetization in Bohr magnetons per cell: 2.79

Entry 3:
A geometry-optimized La2Er3Tm6 structure, computed with GGA-PBE.

extended XYZ file:
```
11
Lattice="-0.833 3.593 -4.787 -5.132 -0.349 -3.184 -5.058 9.194 5.216" Properties=species:S:1:pos:R:3 pbc="T T T"
Tm -5.606 7.135 2.497
Tm -5.417 5.303 -5.252
Tm -3.427 4.222 -2.595
Tm -7.596 8.216 -0.160
Tm -1.440 3.142 0.061
Tm -4.451 9.645 0.368
Er 0.000 0.000 0.000
Er -1.976 1.087 -2.655
Er -3.989 2.157 -5.316
La -4.932 7.476 -2.442
La -6.091 4.962 -0.312
```

Properties
Fermi-level density of states in states/eV/f.u.: 18.10
Energy relative to the elements in meV per atom: 187
ρ in g/cm3: 8.15
Spin magnetization in Bohr magnetons per cell: 0.02